Compound: Cd2NiN2
Source: the Alexandria database
Functional: PBE-GGA
Structure: relaxed

a b c (Å): 5.8700 5.8700 3.6957
angles (deg): 90.00 90.00 90.00
Last column: nearest neighbours and their distance in Å.
Element x y z (fractional)
Cd  0.1627  0.3373  0.0000  2 N 2.28
Cd  0.3373  0.8373  0.0000  2 N 2.28
Cd  0.6627  0.1627  0.0000  2 N 2.28
Cd  0.8373  0.6627  0.0000  2 N 2.28
Ni  0.0000  0.0000  0.5000  4 N 2.17
Ni  0.5000  0.5000  0.5000  4 N 2.17
N  0.1755  0.6755  0.5000  2 Ni 2.17, 2 Cd 2.28
N  0.3245  0.1755  0.5000  2 Ni 2.17, 2 Cd 2.28
N  0.6755  0.8245  0.5000  2 Ni 2.17, 2 Cd 2.28
N  0.8245  0.3245  0.5000  2 Ni 2.17, 2 Cd 2.28

Calculated values
Spin magnetization   0.00 μB per cell
Calculated total energy   -39.87 eV for the cell shown
E_form (uncorrected)   0.866 eV/atom
Space-group type   No. 127


Compound: CdNiN2
Source: the Alexandria database
Functional: PBE-GGA
Structure: relaxed

a b c (Å): 6.1358 6.1358 6.1358
angles (deg): 32.19 32.19 32.19
Last column: nearest neighbours and their distance in Å.
Element x y z (fractional)
Cd  0.0000  0.0000  0.0000  6 N 2.31
Ni  0.5000  0.5000  0.5000  2 N 1.70
N  0.4027  0.4027  0.4027  1 Ni 1.70
N  0.5973  0.5973  0.5973  1 Ni 1.70

Calculated values
Spin magnetization   0.00 μB per cell
Calculated total energy   -18.75 eV for the cell shown
E_form (uncorrected)   1.150 eV/atom
Space-group type   No. 166


What did the second record say?
Compound: CdNiN2
Source: the Alexandria database
Functional: PBE-GGA
Structure: relaxed

a b c (Å): 6.1358 6.1358 6.1358
angles (deg): 32.19 32.19 32.19
Last column: nearest neighbours and their distance in Å.
Element x y z (fractional)
Cd  0.0000  0.0000  0.0000  6 N 2.31
Ni  0.5000  0.5000  0.5000  2 N 1.70
N  0.4027  0.4027  0.4027  1 Ni 1.70
N  0.5973  0.5973  0.5973  1 Ni 1.70

Calculated values
Spin magnetization   0.00 μB per cell
Calculated total energy   -18.75 eV for the cell shown
E_form (uncorrected)   1.150 eV/atom
Space-group type   No. 166